(1)
DFT (PBE-GGA) results for an optimized crystal structure of Nd3Ga2Ir3.

Cell lengths 4.1768, 6.1614, 14.4065 Å; angles 90.00, 90.00, 109.81 degrees
Closest atoms and distances in Å follow each position.
Fractional coordinates of all 16 atoms:
Nd: 0.9221 0.8443 0.3879  6 Ir 3.04-3.16, 3 Ga 3.16-3.28
Nd: 0.0779 0.1557 0.8879  6 Ir 3.04-3.16, 3 Ga 3.16-3.28
Nd: 0.9221 0.8443 0.1121  6 Ir 3.04-3.16, 3 Ga 3.16-3.28
Nd: 0.0779 0.1557 0.6121  6 Ir 3.04-3.16, 3 Ga 3.16-3.28
Nd: 0.6486 0.2971 0.2500  4 Ir 2.93-3.07
Nd: 0.3514 0.7029 0.7500  4 Ir 2.93-3.07
Ga: 0.7790 0.5581 0.9157  4 Ir 2.56-2.69
Ga: 0.2210 0.4419 0.4157  4 Ir 2.56-2.69
Ga: 0.7790 0.5581 0.5843  4 Ir 2.56-2.69
Ga: 0.2210 0.4419 0.0843  4 Ir 2.56-2.69
Ir: 0.6055 0.2111 0.4600  3 Ga 2.56-2.69, 1 Ir 2.70
Ir: 0.3945 0.7889 0.9600  3 Ga 2.56-2.69, 1 Ir 2.70
Ir: 0.6055 0.2111 0.0400  3 Ga 2.56-2.69, 1 Ir 2.70
Ir: 0.3945 0.7889 0.5400  3 Ga 2.56-2.69, 1 Ir 2.70
Ir: 0.3257 0.6514 0.2500  2 Ga 2.68, 2 Nd 2.93
Ir: 0.6743 0.3486 0.7500  2 Ga 2.68, 2 Nd 2.93

Output
Calculated total energy: -6.5728 eV per atom
DFT formation energy: -0.705 eV/atom
V: 21.80 A^3/atom

(2)
DFT (PBE-GGA) results for an optimized crystal structure of NdGa9Ir2.

Cell lengths 3.7989, 8.2525, 8.2525 Å; angles 120.00, 90.00, 90.00 degrees
Closest atoms and distances in Å follow each position.
Fractional coordinates of all 12 atoms:
Nd: 0.0000 0.0000 0.0000  12 Ga 3.41, 2 Nd 3.80
Ga: 0.5000 0.8018 0.1982  2 Ir 2.71, 6 Ga 2.83-2.90
Ga: 0.0000 0.0000 0.5000  2 Ir 2.38
Ga: 0.0000 0.5000 0.5000  2 Ir 2.38
Ga: 0.5000 0.8018 0.6036  2 Ir 2.71, 6 Ga 2.83-2.90
Ga: 0.5000 0.1982 0.8018  2 Ir 2.71, 6 Ga 2.83-2.90
Ga: 0.5000 0.6036 0.8018  2 Ir 2.71, 6 Ga 2.83-2.90
Ga: 0.5000 0.1982 0.3964  2 Ir 2.71, 6 Ga 2.83-2.90
Ga: 0.0000 0.5000 0.0000  2 Ir 2.38
Ga: 0.5000 0.3964 0.1982  2 Ir 2.71, 6 Ga 2.83-2.90
Ir: 0.0000 0.6667 0.3333  3 Ga 2.38
Ir: 0.0000 0.3333 0.6667  3 Ga 2.38

Output
Calculated total energy: -4.4865 eV per atom
DFT formation energy: -0.342 eV/atom
V: 18.67 A^3/atom
Offset from the most stable computed form: 0.00 eV/f.u.

(3)
DFT (PBE-GGA) results for an optimized crystal structure of Nd3Ga7Ir2.

Cell lengths 4.2752, 4.2682, 13.9551 Å; angles 98.80, 90.00, 90.00 degrees
Closest atoms and distances in Å follow each position.
Fractional coordinates of all 12 atoms:
Nd: 0.5000 0.5000 0.0000  12 Ga 3.02-3.18
Nd: 0.5000 0.6779 0.3559  4 Ir 3.23, 10 Ga 3.29-3.41
Nd: 0.5000 0.3221 0.6441  4 Ir 3.23, 10 Ga 3.29-3.41
Ga: 0.0000 0.4155 0.8310  2 Ir 2.57
Ga: 0.0000 0.7744 0.5489  1 Ir 2.46, 2 Ga 2.52
Ga: 0.0000 0.0000 0.0000  4 Nd 3.02, 8 Ga 3.16-3.18
Ga: 0.0000 0.5845 0.1690  2 Ir 2.57
Ga: 0.5000 0.0855 0.1710  2 Ir 2.56
Ga: 0.5000 0.9145 0.8290  2 Ir 2.56
Ga: 0.0000 0.2256 0.4511  1 Ir 2.46, 2 Ga 2.52
Ir: 0.0000 0.8637 0.7275  5 Ga 2.46-2.57
Ir: 0.0000 0.1363 0.2725  5 Ga 2.46-2.57

Output
Calculated total energy: -4.9928 eV per atom
DFT formation energy: -0.558 eV/atom
V: 20.97 A^3/atom

(4)
DFT (PBE-GGA) results for an optimized crystal structure of Nd4GaIr.

Cell lengths 5.4323, 6.4990, 10.7646 Å; angles 90.00, 104.61, 90.00 degrees
Closest atoms and distances in Å follow each position.
Fractional coordinates of all 12 atoms:
Nd: 0.8992 0.3219 0.7984  2 Ir 2.75
Nd: 0.1008 0.8219 0.2016  2 Ir 2.75
Nd: 0.4490 0.8223 0.8980  1 Ir 2.76
Nd: 0.5510 0.3223 0.1020  1 Ir 2.76
Nd: 0.6979 0.5666 0.3957  1 Ir 2.94, 1 Nd 3.18, 2 Ga 3.24
Nd: 0.3021 0.0666 0.6043  1 Ir 2.94, 1 Nd 3.18, 2 Ga 3.24
Nd: 0.6977 0.0779 0.3955  1 Ir 2.94, 1 Nd 3.18, 2 Ga 3.24
Nd: 0.3023 0.5779 0.6045  1 Ir 2.94, 1 Nd 3.18, 2 Ga 3.24
Ga: 0.8390 0.8224 0.6780  10 Nd 3.24-3.55
Ga: 0.1610 0.3224 0.3220  10 Nd 3.24-3.55
Ir: 0.5814 0.8223 0.1628  5 Nd 2.75-2.94
Ir: 0.4186 0.3223 0.8372  5 Nd 2.75-2.94

Output
Calculated total energy: -5.4928 eV per atom
DFT formation energy: -0.333 eV/atom
V: 30.65 A^3/atom
Offset from the most stable computed form: 0.84 eV/f.u.

(5)
DFT (PBE-GGA) results for an optimized crystal structure of Nd4Ga16Ir3.

Cell lengths 6.2314, 6.2314, 11.3993 Å; angles 90.00, 90.00, 90.00 degrees
Closest atoms and distances in Å follow each position.
Fractional coordinates of all 23 atoms:
Nd: 0.5000 0.0000 0.8048  12 Ga 3.07-3.15
Nd: 0.0000 0.5000 0.1952  12 Ga 3.07-3.15
Nd: 0.0000 0.5000 0.8048  12 Ga 3.07-3.15
Nd: 0.5000 0.0000 0.1952  12 Ga 3.07-3.15
Ga: 0.0000 0.0000 0.7757  1 Ir 2.56, 4 Ga 2.84
Ga: 0.2881 0.2881 0.0000  1 Ir 2.54, 2 Ga 2.64
Ga: 0.5000 0.5000 0.8040  8 Ga 2.91-3.08, 4 Nd 3.12
Ga: 0.7119 0.2881 0.0000  1 Ir 2.54, 2 Ga 2.64
Ga: 0.5000 0.5000 0.1960  8 Ga 2.91-3.08, 4 Nd 3.12
Ga: 0.7119 0.7119 0.0000  1 Ir 2.54, 2 Ga 2.64
Ga: 0.0000 0.0000 0.2243  1 Ir 2.56, 4 Ga 2.84
Ga: 0.7521 0.7521 0.6172  2 Ir 2.58, 2 Ga 2.67-2.84
Ga: 0.7521 0.2479 0.3828  2 Ir 2.58, 2 Ga 2.67-2.84
Ga: 0.2479 0.2479 0.6172  2 Ir 2.58, 2 Ga 2.67-2.84
Ga: 0.2479 0.7521 0.3828  2 Ir 2.58, 2 Ga 2.67-2.84
Ga: 0.2881 0.7119 0.0000  1 Ir 2.54, 2 Ga 2.64
Ga: 0.7521 0.7521 0.3828  2 Ir 2.58, 2 Ga 2.67-2.84
Ga: 0.7521 0.2479 0.6172  2 Ir 2.58, 2 Ga 2.67-2.84
Ga: 0.2479 0.2479 0.3828  2 Ir 2.58, 2 Ga 2.67-2.84
Ga: 0.2479 0.7521 0.6172  2 Ir 2.58, 2 Ga 2.67-2.84
Ir: 0.0000 0.5000 0.5000  8 Ga 2.58
Ir: 0.0000 0.0000 0.0000  6 Ga 2.54-2.56
Ir: 0.5000 0.0000 0.5000  8 Ga 2.58

Output
Calculated total energy: -4.7106 eV per atom
DFT formation energy: -0.620 eV/atom
V: 19.25 A^3/atom

(6)
DFT (PBE-GGA) results for an optimized crystal structure of Nd2GaIr.

Cell lengths 3.6720, 3.6720, 7.0801 Å; angles 90.00, 90.00, 90.00 degrees
Closest atoms and distances in Å follow each position.
Fractional coordinates of all 4 atoms:
Ir: 0.5000 0.5000 0.0000  8 Nd 3.08
Nd: 0.0000 0.0000 0.7658  4 Ir 3.08, 4 Ga 3.21, 1 Nd 3.32
Nd: 0.0000 0.0000 0.2342  4 Ir 3.08, 4 Ga 3.21, 1 Nd 3.32
Ga: 0.5000 0.5000 0.5000  8 Nd 3.21, 2 Ir 3.54

Output
Calculated total energy: -5.9105 eV per atom
DFT formation energy: -0.555 eV/atom
V: 23.87 A^3/atom